(1)
This record from the Alexandria database describes a crystal of Mn6Ni16P7 relaxed with PBEsol. The functional is SCAN.

Unit cell a=7.6571 b=7.6571 c=7.6571 alpha=60.00 beta=60.00 gamma=60.00
With the nearest neighbours (Å) after each atom.
Fractional positions:
Mn (0.8078, 0.1922, 0.8078)  8 Ni 2.53-2.73, 4 P 2.78
Mn (0.1922, 0.8078, 0.1922)  8 Ni 2.53-2.73, 4 P 2.78
Mn (0.8078, 0.8078, 0.1922)  8 Ni 2.53-2.73, 4 P 2.78
Mn (0.1922, 0.1922, 0.8078)  8 Ni 2.53-2.73, 4 P 2.78
Mn (0.8078, 0.1922, 0.1922)  8 Ni 2.53-2.73, 4 P 2.78
Mn (0.1922, 0.8078, 0.8078)  8 Ni 2.53-2.73, 4 P 2.78
Ni (0.5075, 0.1642, 0.1642)  3 P 2.21
Ni (0.1642, 0.1642, 0.1642)  3 P 2.21
Ni (0.1642, 0.5075, 0.1642)  3 P 2.21
Ni (0.1642, 0.1642, 0.5075)  3 P 2.21
Ni (0.8358, 0.8358, 0.8358)  3 P 2.21
Ni (0.4925, 0.8358, 0.8358)  3 P 2.21
Ni (0.8358, 0.4925, 0.8358)  3 P 2.21
Ni (0.8358, 0.8358, 0.4925)  3 P 2.21
Ni (0.8505, 0.3832, 0.3832)  4 P 2.19-2.40
Ni (0.3832, 0.3832, 0.3832)  4 P 2.19-2.40
Ni (0.3832, 0.8505, 0.3832)  4 P 2.19-2.40
Ni (0.3832, 0.3832, 0.8505)  4 P 2.19-2.40
Ni (0.6168, 0.6168, 0.6168)  4 P 2.19-2.40
Ni (0.1495, 0.6168, 0.6168)  4 P 2.19-2.40
Ni (0.6168, 0.1495, 0.6168)  4 P 2.19-2.40
Ni (0.6168, 0.6168, 0.1495)  4 P 2.19-2.40
P (0.5000, 0.5000, 0.5000)  8 Ni 2.19
P (0.5000, 0.0000, 0.5000)  8 Ni 2.21-2.40
P (0.0000, 0.5000, 0.0000)  8 Ni 2.21-2.40
P (0.5000, 0.5000, 0.0000)  8 Ni 2.21-2.40
P (0.0000, 0.0000, 0.5000)  8 Ni 2.21-2.40
P (0.5000, 0.0000, 0.0000)  8 Ni 2.21-2.40
P (0.0000, 0.5000, 0.5000)  8 Ni 2.21-2.40

Values from the calculation:
Formation energy from the elements = -0.564 eV/atom
SG = Fm-3m (225)



(2)
This record from the Alexandria database describes a crystal of YHS2 relaxed with PBEsol. The functional is SCAN.

Unit cell a=3.4309 b=3.4309 c=7.4437 alpha=76.68 beta=76.68 gamma=60.00
With the nearest neighbours (Å) after each atom.
Fractional positions:
Y (0.0000, 0.0000, 0.0000)  2 S 2.54
H (0.5000, 0.5000, 0.5000)  6 S 2.24
S (0.8821, 0.8821, 0.3536)  3 H 2.24
S (0.1179, 0.1179, 0.6464)  3 H 2.24

Values from the calculation:
SG = R-3m (166)
Electronic total energy = -48.06 eV/f.u.



(3)
This record from the Alexandria database describes a crystal of Sr2CoIr relaxed with PBEsol. The functional is SCAN.

Unit cell a=3.4022 b=3.4022 c=8.6760 alpha=90.00 beta=90.00 gamma=90.00
With the nearest neighbours (Å) after each atom.
Fractional positions:
Co (0.0000, 0.0000, 0.5894)  4 Ir 2.49
Ir (0.5000, 0.5000, 0.6644)  4 Co 2.49
Sr (0.0000, 0.0000, 0.9120)  1 Co 2.80
Sr (0.5000, 0.5000, 0.3341)  1 Ir 2.87

Values from the calculation:
Formation energy from the elements = 0.206 eV/atom
SG = P4mm (99)



(4)
This record from the Alexandria database describes a crystal of KSc2Te relaxed with PBEsol. The functional is SCAN.

Unit cell a=3.8743 b=4.9557 c=6.4248 alpha=112.69 beta=107.55 gamma=90.00
With the nearest neighbours (Å) after each atom.
Fractional positions:
K (0.2247, 0.7247, 0.4493)  6 Sc 3.22-3.44, 2 Te 3.37
Sc (0.0111, 0.0111, 0.0223)  4 Te 3.17, 2 K 3.44, 2 Sc 3.54
Sc (0.7861, 0.2861, 0.5721)  2 Te 2.90, 4 K 3.22
Te (0.4781, 0.4781, 0.9562)  6 Sc 2.90-3.17

Values from the calculation:
SG = Imm2 (44)
Raw formation energy = -66.8 meV per atom



(5)
This record from the Alexandria database describes a crystal of TiNiIr2O relaxed with PBEsol. The functional is SCAN.

Unit cell a=4.2917 b=4.5091 c=4.5091 alpha=90.00 beta=90.00 gamma=90.00
With the nearest neighbours (Å) after each atom.
Fractional positions:
Ni (0.5000, 0.0000, 0.0000)  2 Ti 2.15
Ir (0.0000, 0.0000, 0.5000)  2 Ti 2.25
Ir (0.0000, 0.5000, 0.0000)  2 Ti 2.25
O (0.5000, 0.5000, 0.5000)  8 Ir 3.11, 4 Ni 3.19
Ti (0.0000, 0.0000, 0.0000)  2 Ni 2.15, 4 Ir 2.25

Values from the calculation:
SG = P4/mmm (123)
Raw formation energy = 1835.9 meV per atom



(6)
This record from the Alexandria database describes a crystal of YCu2Si2 relaxed with PBEsol. The functional is SCAN.

Unit cell a=3.9292 b=3.9292 c=5.6614 alpha=110.30 beta=110.30 gamma=90.00
With the nearest neighbours (Å) after each atom.
Fractional positions:
Y (0.0000, 0.0000, 0.0000)  8 Si 3.01, 8 Cu 3.15
Si (0.3815, 0.3815, 0.7631)  1 Si 2.34, 4 Cu 2.35
Si (0.6185, 0.6185, 0.2369)  1 Si 2.34, 4 Cu 2.35
Cu (0.2500, 0.7500, 0.5000)  4 Si 2.35
Cu (0.7500, 0.2500, 0.5000)  4 Si 2.35

Values from the calculation:
SG = I4/mmm (139)
Raw formation energy = -646.2 meV per atom



(7)
This record from the Alexandria database describes a crystal of ScPdAu2 relaxed with PBEsol. The functional is SCAN.

Unit cell a=4.5775 b=4.5775 c=4.5775 alpha=60.00 beta=60.00 gamma=60.00
With the nearest neighbours (Å) after each atom.
Fractional positions:
Sc (0.0000, 0.0000, 0.0000)  8 Au 2.80
Au (0.2500, 0.2500, 0.2500)  4 Sc 2.80, 4 Pd 2.80
Au (0.7500, 0.7500, 0.7500)  4 Pd 2.80, 4 Sc 2.80
Pd (0.5000, 0.5000, 0.5000)  8 Au 2.80

Values from the calculation:
Formation energy from the elements = -0.766 eV/atom
SG = Fm-3m (225)



(8)
This record from the Alexandria database describes a crystal of Mn2TlSe relaxed with PBEsol. The functional is SCAN.

Unit cell a=3.1352 b=3.1352 c=8.8258 alpha=79.77 beta=79.77 gamma=60.00
With the nearest neighbours (Å) after each atom.
Fractional positions:
Mn (0.0139, 0.0139, 0.9582)  3 Mn 2.60
Mn (0.7528, 0.7528, 0.7417)  3 Se 2.33, 3 Mn 2.60
Se (0.4760, 0.4760, 0.5721)  3 Mn 2.33
Tl (0.2574, 0.2574, 0.2279)  3 Mn 2.95, 6 Tl 3.14

Values from the calculation:
SG = R3m (160)
Raw formation energy = 8.2 meV per atom



(9)
This record from the Alexandria database describes a crystal of InFeSb3 relaxed with PBEsol. The functional is SCAN.

Unit cell a=4.9518 b=4.9518 c=4.9518 alpha=90.00 beta=90.00 gamma=90.00
With the nearest neighbours (Å) after each atom.
Fractional positions:
Sb (0.0000, 0.5000, 0.0000)  2 Fe 2.48
Sb (0.0000, 0.0000, 0.5000)  2 Fe 2.48
Sb (0.5000, 0.0000, 0.0000)  2 Fe 2.48
Fe (0.0000, 0.0000, 0.0000)  6 Sb 2.48
In (0.5000, 0.5000, 0.5000)  12 Sb 3.50

Values from the calculation:
SG = Pm-3m (221)
Raw formation energy = 431.0 meV per atom



(10)
This record from the Alexandria database describes a crystal of MnSiO3 relaxed with PBEsol. The functional is SCAN.

Unit cell a=5.3797 b=6.7670 c=6.7670 alpha=86.16 beta=75.62 gamma=75.62
With the nearest neighbours (Å) after each atom.
Fractional positions:
Si (0.7303, 0.2136, 0.3848)  4 O 1.62-1.66
Si (0.2303, 0.3848, 0.2136)  4 O 1.62-1.66
Si (0.7697, 0.6152, 0.7864)  4 O 1.62-1.66
Si (0.2697, 0.7864, 0.6152)  4 O 1.62-1.66
Mn (0.7500, 0.7454, 0.2546)  4 O 2.00-2.12
Mn (0.7500, 0.1019, 0.8981)  6 O 2.12-2.29
Mn (0.2500, 0.8981, 0.1019)  6 O 2.12-2.29
Mn (0.2500, 0.2546, 0.7454)  4 O 2.00-2.12
O (0.9661, 0.3331, 0.3735)  2 Si 1.65-1.66
O (0.6329, 0.1374, 0.6171)  1 Si 1.62
O (0.8671, 0.3829, 0.8626)  1 Si 1.62
O (0.3429, 0.2123, 0.0336)  1 Si 1.64
O (0.5339, 0.6265, 0.6669)  2 Si 1.65-1.66
O (0.1329, 0.6171, 0.1374)  1 Si 1.62
O (0.4661, 0.3735, 0.3331)  2 Si 1.65-1.66
O (0.1571, 0.9664, 0.7877)  1 Si 1.64
O (0.3671, 0.8626, 0.3829)  1 Si 1.62
O (0.6571, 0.7877, 0.9664)  1 Si 1.64
O (0.8429, 0.0336, 0.2123)  1 Si 1.64
O (0.0339, 0.6669, 0.6265)  2 Si 1.65-1.66

Values from the calculation:
SG = C2/c (15)
Raw formation energy = -2646.5 meV per atom



(11)
This record from the Alexandria database describes a crystal of MgZrTl2 relaxed with PBEsol. The functional is SCAN.

Unit cell a=3.2788 b=3.2788 c=10.0437 alpha=80.61 beta=80.61 gamma=60.00
With the nearest neighbours (Å) after each atom.
Fractional positions:
Tl (0.2515, 0.2515, 0.2454)  3 Mg 3.07, 3 Zr 3.15, 6 Tl 3.28
Tl (0.7485, 0.7485, 0.7546)  3 Mg 3.07, 3 Zr 3.15, 6 Tl 3.28
Mg (0.0000, 0.0000, 0.0000)  6 Tl 3.07, 6 Mg 3.28
Zr (0.5000, 0.5000, 0.5000)  6 Tl 3.15, 6 Zr 3.28

Values from the calculation:
Formation energy from the elements = -0.100 eV/atom
SG = R-3m (166)



(12)
This record from the Alexandria database describes a crystal of BaSr2Li relaxed with PBEsol. The functional is SCAN.

Unit cell a=4.6978 b=6.3091 c=6.4191 alpha=90.00 beta=90.00 gamma=90.00
With the nearest neighbours (Å) after each atom.
Fractional positions:
Sr (0.0000, 0.0000, 0.0000)  4 Sr 3.93, 4 Ba 3.98
Sr (0.5000, 0.5000, 0.0000)  4 Sr 3.93, 4 Li 3.98
Ba (0.5000, 0.0000, 0.5000)  4 Li 3.93, 4 Sr 3.98
Li (0.0000, 0.5000, 0.5000)  4 Ba 3.93, 4 Sr 3.98

Values from the calculation:
Formation energy from the elements = 0.086 eV/atom
SG = Pmmm (47)



Q: Which formula does entry 4 have?
A: KSc2Te